# PBE LaPrY, relaxed
data_LaPrY
_chemical_formula_sum 'La1 Pr1 Y1'
_cell_length_a 3.696
_cell_length_b 3.696
_cell_length_c 8.187
_cell_angle_alpha 103.05
_cell_angle_beta 103.05
_cell_angle_gamma 90.00
_symmetry_space_group_name_H-M 'P 1'
_symmetry_Int_Tables_number 1
loop_
_symmetry_equiv_pos_as_xyz
'x,y,z'
loop_
_atom_site_label
_atom_site_fract_x
_atom_site_fract_y
_atom_site_fract_z
La1 0.334 0.334 0.669
Y1 0.001 0.001 0.002
Pr1 0.665 0.665 0.329
# - calculated formation energy (eV/atom) = 0.0252
# - total magnetic moment (μB per formula unit) = 0.00
# - offset from the most stable computed form (meV/atom) = 9
# - energy (eV/atom) = -5.365

=====

# PBE PmAl12Ni6, relaxed
data_PmAl12Ni6
_chemical_formula_sum 'Pm1 Al12 Ni6'
_cell_length_a 6.915
_cell_length_b 6.915
_cell_length_c 6.915
_cell_angle_alpha 104.68
_cell_angle_beta 104.68
_cell_angle_gamma 104.68
_symmetry_space_group_name_H-M 'P 1'
_symmetry_Int_Tables_number 1
loop_
_symmetry_equiv_pos_as_xyz
'x,y,z'
loop_
_atom_site_label
_atom_site_fract_x
_atom_site_fract_y
_atom_site_fract_z
Ni1 0.728 0.728 0.299
Al1 0.881 0.119 0.500
Ni2 0.299 0.728 0.728
Al2 0.843 0.583 0.583
Al3 0.157 0.417 0.417
Ni3 0.272 0.272 0.701
Al4 0.583 0.843 0.583
Al5 0.417 0.157 0.417
Al6 0.119 0.881 0.500
Al7 0.500 0.119 0.881
Ni4 0.701 0.272 0.272
Al8 0.417 0.417 0.157
Ni5 0.728 0.299 0.728
Al9 0.119 0.500 0.881
Pm1 0.000 0.000 0.000
Ni6 0.272 0.701 0.272
Al10 0.583 0.583 0.843
Al11 0.881 0.500 0.119
Al12 0.500 0.881 0.119
# - calculated formation energy (eV/atom) = -0.4566
# - total magnetic moment (μB per formula unit) = 0.00
# - energy (eV/atom) = -4.896

=====

# PBE MgIn3Te, relaxed
data_MgIn3Te
_chemical_formula_sum 'Mg1 In3 Te1'
_cell_length_a 5.496
_cell_length_b 5.496
_cell_length_c 5.496
_cell_angle_alpha 90.00
_cell_angle_beta 90.00
_cell_angle_gamma 90.00
_symmetry_space_group_name_H-M 'P 1'
_symmetry_Int_Tables_number 1
loop_
_symmetry_equiv_pos_as_xyz
'x,y,z'
loop_
_atom_site_label
_atom_site_fract_x
_atom_site_fract_y
_atom_site_fract_z
In1 0.000 0.500 0.000
In2 0.500 0.000 0.000
In3 0.000 0.000 0.500
Te1 0.500 0.500 0.500
Mg1 0.000 0.000 0.000
# - total magnetic moment (μB per formula unit) = 0.00
# - offset from the most stable computed form (meV/atom) = 0
# - energy (eV/atom) = -2.384

=====

# PBE Cl2OF2, relaxed
data_Cl2OF2
_chemical_formula_sum 'Cl4 O2 F4'
_cell_length_a 8.056
_cell_length_b 8.056
_cell_length_c 2.517
_cell_angle_alpha 90.00
_cell_angle_beta 90.00
_cell_angle_gamma 90.00
_symmetry_space_group_name_H-M 'P 1'
_symmetry_Int_Tables_number 1
loop_
_symmetry_equiv_pos_as_xyz
'x,y,z'
loop_
_atom_site_label
_atom_site_fract_x
_atom_site_fract_y
_atom_site_fract_z
F1 0.127 0.373 0.000
F2 0.627 0.127 0.000
Cl1 0.786 0.286 0.500
F3 0.873 0.627 0.000
Cl2 0.286 0.214 0.500
Cl3 0.714 0.786 0.500
O1 0.500 0.500 0.000
F4 0.373 0.873 0.000
O2 0.000 0.000 0.000
Cl4 0.214 0.714 0.500
# - total magnetic moment (μB per formula unit) = 3.68
# - offset from the most stable computed form (meV/atom) = 55
# - energy (eV/atom) = -1.643

=====

Number 3 is which compound?
MgIn3Te

=====

Which of these has the highest total magnetic moment?
Cl2OF2

=====

total magnetic moment of number 1 (LaPrY)?
0.00 μB per formula unit